Density functional theory data (PBE) for crystalline Ce3Cd2Au3 at its relaxed geometry.

Structure (POSCAR):
```
Ce3Cd2Au3
1.0
8.8598 0.0000 0.0000
-4.4299 7.6729 0.0000
0.0000 0.0000 5.9782
Ce Cd Au
6 4 6
Direct
0.0000 0.2800 0.2500 Ce
0.0000 0.7200 0.7500 Ce
0.2800 0.0000 0.2500 Ce
0.2800 0.2800 0.7500 Ce
0.7200 0.0000 0.7500 Ce
0.7200 0.7200 0.2500 Ce
0.3333 0.6667 0.0000 Cd
0.3333 0.6667 0.5000 Cd
0.6667 0.3333 0.0000 Cd
0.6667 0.3333 0.5000 Cd
0.0000 0.3785 0.7500 Au
0.0000 0.6215 0.2500 Au
0.3785 0.0000 0.7500 Au
0.3785 0.3785 0.2500 Au
0.6215 0.0000 0.2500 Au
0.6215 0.6215 0.7500 Au
```

Values from the calculation:
Its energy of formation is -0.487 eV/atom. The value obtained for the density is 10.10 Mg/m³. The total energy is -66.72 eV/cell.